Material: Cs2NaHgP
Method: DFT, PBE
State: relaxed

Values from the calculation:
Energy of formation in eV/f.u.: -0.6
Raw total energy in eV for the cell shown: -9.331
M_tot in μB per formula unit: 0.04

abc: 7.0474 7.0474 5.4444
angles: 90.00 90.00 90.00
Atoms (fractional coordinates):
Cs1 0.0000 0.5000 0.0000
Cs2 0.5000 0.0000 0.0000
Na1 0.0000 0.0000 0.5000
Hg1 0.5000 0.5000 0.5000
P1 0.0000 0.0000 0.0000